This record from Alexandria describes crystalline MgBe2Re at its relaxed geometry. The functional is PBEsol.

Properties
Theoretical density = 7.76 g/cm3
Total magnetization = 0.000 μB/atom
ΔH_f (0 K) = 0.290 eV/atom

Unit cell a=2.7404 b=2.7404 c=6.5101 alpha=90.00 beta=90.00 gamma=90.00
With the nearest neighbours (Å) after each atom.
Space group P4mm (No. 99)
Inequivalent atoms, fractional coordinates:
Mg  0.0000  0.0000  0.0000 x1  5 Be 2.70-2.87, 4 Mg 2.74, 4 Re 2.88
Be  0.0000  0.0000  0.5592 x1  4 Be 2.17
Be  0.5000  0.5000  0.7105 x1  4 Be 2.17
Re  0.5000  0.5000  0.3267 x1  5 Be 2.46-2.50, 4 Re 2.74